Entry 1:
Here is a relaxed Li6TaP4 crystal from Alexandria. Energies are from PBE.

Calculated density, g/cm³: 2.850
Size of the total moment, μB per formula unit: 0.000
Formation energy, eV per atom: -0.577

Cell: 8.032 8.032 6.258 Å, 90.00 90.00 90.00°
Space group P4_2/nmc (No. 137, origin choice 2)
Inequivalent atoms, fractional coordinates:
Li1 0.034 0.534 0.250
Li2 0.250 0.250 0.191
Ta1 0.250 0.750 0.750
P1 0.000 0.250 0.454



Entry 2:
Here is a relaxed Li3TaP crystal from Alexandria. Energies are from PBE.

Calculated density, g/cm³: 4.811
Size of the total moment, μB per formula unit: 0.000
Formation energy, eV per atom: 0.697

Cell: 4.315 4.315 4.315 Å, 90.00 90.00 90.00°
Space group Pm-3m (No. 221)
Inequivalent atoms, fractional coordinates:
Li1 0.000 0.000 0.500
Ta1 0.500 0.500 0.500
P1 0.000 0.000 0.000



Entry 3:
Here is a relaxed LiTa4P crystal from Alexandria. Energies are from PBE.

Calculated density, g/cm³: 10.983
Size of the total moment, μB per formula unit: 0.000
Formation energy, eV per atom: 0.774

Cell: 7.723 7.723 7.723 Å, 90.00 90.00 90.00°
Space group F-43m (No. 216)
Inequivalent atoms, fractional coordinates:
Li1 0.000 0.000 0.000
Ta1 0.127 0.127 0.627
P1 0.250 0.250 0.250



Entry 4:
Here is a relaxed LiTaP4 crystal from Alexandria. Energies are from PBE.

Calculated density, g/cm³: 5.936
Size of the total moment, μB per formula unit: 0.000
Formation energy, eV per atom: 0.387

Cell: 7.040 7.040 7.040 Å, 90.00 90.00 90.00°
Space group F-43m (No. 216)
Inequivalent atoms, fractional coordinates:
Li1 0.000 0.000 0.000
Ta1 0.250 0.250 0.250
P1 0.124 0.124 0.624



Entry 5:
Here is a relaxed Li3TaP crystal from Alexandria. Energies are from PBE.

Calculated density, g/cm³: 3.157
Size of the total moment, μB per formula unit: 3.256
Formation energy, eV per atom: 1.595

Cell: 4.965 4.965 4.965 Å, 90.00 90.00 90.00°
Space group Pm-3m (No. 221)
Inequivalent atoms, fractional coordinates:
Li1 0.000 0.000 0.500
Ta1 0.000 0.000 0.000
P1 0.500 0.500 0.500



Entry 6:
Here is a relaxed Li2TaTcP crystal from Alexandria. Energies are from PBE.

Calculated density, g/cm³: 6.898
Size of the total moment, μB per formula unit: 0.000
Formation energy, eV per atom: 0.890

Cell: 4.210 4.210 4.398 Å, 90.00 90.00 90.00°
Space group P4/mmm (No. 123)
Inequivalent atoms, fractional coordinates:
Li1 0.000 0.500 0.000
Ta1 0.000 0.000 0.500
Tc1 0.500 0.500 0.000
P1 0.500 0.500 0.500



Look up the size of the total moment of the sixth one. 0.000 μB per formula unit



Which value of formation energy does entry 3 give? 0.774 eV per atom



What is the size of the total moment in the first record? 0.000 μB per formula unit